First-principles (PBE) data for a relaxed structure of Nd2Y9Er, as listed in Alexandria via LeMat-Bulk.

Its energy of formation is 24 meV/atom. The calculation puts the total magnetization at 0.00 μB per formula unit.

The space group is P4/mmm (No. 123) and the conventional cell measures 5.070, 5.070 and 15.209 Å, with angles of 90.00, 90.00 and 90.00 degrees. The asymmetric unit holds Nd at (0.000, 0.000, 0.167), Y at (0.000, 0.500, 0.000), Y at (0.000, 0.500, 0.336), Y at (0.500, 0.500, 0.168), Y at (0.500, 0.500, 0.500) and Er at (0.000, 0.000, 0.500).